Record 1
{
  "formula": "LaGa2Pd",
  "functional": "PBE",
  "state": "optimized geometry",
  "m_tot_mub_per_cell": 0.00,
  "lattice": [[5.6195, 0.0000, 0.0000], [0.0000, 6.9138, 0.0000], [0.0000, 0.0000, 8.5604]],
  "species": ["La", "La", "La", "La", "Ga", "Ga", "Ga", "Ga", "Ga", "Ga", "Ga", "Ga", "Pd", "Pd", "Pd", "Pd"],
  "frac_coords": [[0.3671, 0.2500, 0.0447], [0.8671, 0.7500, 0.4553], [0.6329, 0.7500, 0.9553], [0.1329, 0.2500, 0.5447], [0.8789, 0.0564, 0.1861], [0.3789, 0.9436, 0.3139], [0.1211, 0.5564, 0.8139], [0.6211, 0.4436, 0.6861], [0.1211, 0.9436, 0.8139], [0.6211, 0.0564, 0.6861], [0.8789, 0.4436, 0.1861], [0.3789, 0.5564, 0.3139], [0.6389, 0.2500, 0.4095], [0.1389, 0.7500, 0.0905], [0.3611, 0.7500, 0.5905], [0.8611, 0.2500, 0.9095]]
}



Record 2
{
  "formula": "LaGa2Pd2",
  "functional": "PBE",
  "state": "optimized geometry",
  "m_tot_mub_per_cell": 0.12,
  "e_above_lowest_polymorph_ev_per_atom": 0.303,
  "lattice": [[-2.5333, 4.5598, -5.8625], [-7.3707, -0.7821, 2.5767], [0.3591, 2.4928, 1.7837]],
  "species": ["Ga", "Ga", "Ga", "Ga", "Pd", "Pd", "Pd", "Pd", "La", "La"],
  "frac_coords": [[0.1527, 0.6527, 0.5000], [0.6527, 0.8473, 0.5000], [0.8473, 0.3473, 0.5000], [0.3473, 0.1527, 0.5000], [0.3676, 0.8676, 0.0000], [0.8676, 0.6324, 0.0000], [0.6324, 0.1324, 0.0000], [0.1324, 0.3676, 0.0000], [0.0000, 0.0000, 0.0000], [0.5000, 0.5000, 0.0000]]
}



Record 3
{
  "formula": "La3GaPd",
  "functional": "PBE",
  "state": "optimized geometry",
  "m_tot_mub_per_cell": 0.00,
  "e_above_lowest_polymorph_ev_per_atom": 0.348,
  "lattice": [[5.7994, 0.0000, 0.0000], [0.0000, 5.7994, 0.0000], [0.0000, 0.0000, 5.7994]],
  "species": ["Ga", "Pd", "La", "La", "La"],
  "frac_coords": [[0.5000, 0.5000, 0.5000], [0.0000, 0.0000, 0.0000], [0.0000, 0.5000, 0.0000], [0.0000, 0.0000, 0.5000], [0.5000, 0.0000, 0.0000]]
}



Record 4
{
  "formula": "La2Ga2Pd15",
  "functional": "PBE",
  "state": "optimized geometry",
  "m_tot_mub_per_cell": 0.00,
  "lattice": [[-6.6541, 2.2349, 0.0650], [-1.1522, -0.0350, -6.9244], [-3.1743, -6.2432, -0.4712]],
  "species": ["La", "La", "Ga", "Ga", "Pd", "Pd", "Pd", "Pd", "Pd", "Pd", "Pd", "Pd", "Pd", "Pd", "Pd", "Pd", "Pd", "Pd", "Pd"],
  "frac_coords": [[0.3450, 0.3450, 0.3450], [0.6550, 0.6550, 0.6550], [0.0990, 0.0990, 0.0990], [0.9010, 0.9010, 0.9010], [0.5000, 0.0000, 0.0000], [0.0000, 0.0000, 0.5000], [0.0000, 0.5000, 0.0000], [0.0000, 0.6992, 0.3008], [0.6992, 0.3008, 0.0000], [0.3008, 0.0000, 0.6992], [0.3008, 0.6992, 0.0000], [0.6992, 0.0000, 0.3008], [0.0000, 0.3008, 0.6992], [0.1530, 0.6532, 0.6532], [0.6532, 0.6532, 0.1530], [0.6532, 0.1530, 0.6532], [0.8470, 0.3468, 0.3468], [0.3468, 0.3468, 0.8470], [0.3468, 0.8470, 0.3468]]
}



Record 5
{
  "formula": "La7Ga2Pd2",
  "functional": "PBE",
  "state": "optimized geometry",
  "m_tot_mub_per_cell": 0.00,
  "lattice": [[6.9686, -0.0035, -0.8933], [0.0032, 7.1748, 0.0032], [-1.3258, -0.0016, 6.8994]],
  "species": ["La", "La", "La", "La", "La", "La", "La", "Ga", "Ga", "Pd", "Pd"],
  "frac_coords": [[0.0000, 0.2776, 0.5000], [0.5000, 0.7224, 0.0000], [0.0000, 0.7224, 0.5000], [0.5000, 0.2776, 0.0000], [0.0000, 0.0000, 0.0000], [0.5000, 0.7171, 0.5000], [0.5000, 0.2829, 0.5000], [0.8447, 0.5000, 0.8447], [0.1553, 0.5000, 0.1553], [0.7077, 0.0000, 0.2923], [0.2923, 0.0000, 0.7077]]
}



Record 6
{
  "formula": "La3Ga3Pd",
  "functional": "PBE",
  "state": "optimized geometry",
  "m_tot_mub_per_cell": 0.00,
  "lattice": [[4.5459, 0.0000, 0.6848], [2.2699, 5.5012, 0.3626], [0.1691, -0.4413, 14.3091]],
  "species": ["La", "La", "La", "La", "La", "La", "Ga", "Ga", "Ga", "Ga", "Ga", "Ga", "Pd", "Pd"],
  "frac_coords": [[0.5456, 0.2921, 0.6167], [0.4544, 0.7079, 0.3833], [0.2537, 0.2573, 0.2353], [0.7463, 0.7427, 0.7647], [0.3883, 0.2928, 0.9306], [0.6117, 0.7072, 0.0694], [0.8689, 0.7221, 0.5401], [0.1311, 0.2779, 0.4599], [0.1032, 0.8735, 0.9202], [0.8968, 0.1265, 0.0798], [0.9668, 0.8396, 0.2267], [0.0332, 0.1604, 0.7733], [0.7455, 0.1189, 0.3900], [0.2545, 0.8811, 0.6100]]
}



| no. | energy of formation (eV/atom) |
| --- | --- |
| 1 | -0.7229 |
| 2 | -0.5277 |
| 3 | -0.1115 |
| 4 | -0.4292 |
| 5 | -0.3785 |
| 6 | -0.6817 |